First-principles (PBE) data for crystalline TmSc2Si4Au4 at its relaxed geometry, as listed in OQMD via LeMat-Bulk.

```
TmSc2Si4Au4
1.0
-2.0627 3.4613 6.9362
2.0627 -3.4613 6.9362
2.0627 3.4613 -6.9362
Tm Sc Si Au
1 2 4 4
Cartesian
0.0000 0.0000 0.0000
2.0627 0.0000 5.2663
0.0000 3.4613 1.6699
0.0000 0.0000 3.0436
2.0627 2.2625 0.0000
0.0000 1.1987 6.9362
0.0000 0.0000 10.8288
2.0627 1.4136 -2.3007
2.0627 1.4136 2.3007
0.0000 2.0476 4.6355
0.0000 2.0476 9.2369
```

Output
E = -58.89 eV/cell

First-principles (PBE) data for crystalline YScSi2Au2 at its relaxed geometry, as listed in OQMD via LeMat-Bulk.

```
YScSi2Au2
1.0
4.3266 0.0000 0.0000
-2.1633 3.7470 0.0000
0.0000 0.0000 7.1479
Y Sc Si Au
1 1 2 2
Cartesian
0.0000 0.0000 0.0000
0.0000 0.0000 3.5627
0.0000 2.4980 4.9912
2.1633 1.2490 1.5894
0.0000 2.4980 2.1657
2.1633 1.2490 5.4299
```

Output
Distance to the lowest polymorph of the same formula = 0 meV per atom

First-principles (PBE) data for crystalline YSc2Si4Au4 at its relaxed geometry, as listed in OQMD via LeMat-Bulk.

```
YSc2Si4Au4
1.0
-2.0645 3.4736 6.9510
2.0645 -3.4736 6.9510
2.0645 3.4736 -6.9510
Y Sc Si Au
1 2 4 4
Cartesian
0.0000 0.0000 0.0000
2.0645 0.0000 5.2770
0.0000 3.4736 1.6740
0.0000 0.0000 3.0621
2.0645 2.2794 0.0000
0.0000 1.1942 6.9510
0.0000 0.0000 10.8398
2.0645 1.4195 -2.3077
2.0645 1.4195 2.3077
0.0000 2.0541 4.6433
0.0000 2.0541 9.2586
```

Output
E = -61.14 eV/cell

First-principles (PBE) data for crystalline YScSi2Au2 at its relaxed geometry, as listed in OQMD via LeMat-Bulk.

```
YScSi2Au2
1.0
8.9758 0.0000 0.0000
0.0000 4.4699 0.0000
-4.4375 0.0000 12.6737
Y Sc Si Au
4 4 8 8
Cartesian
0.0000 0.0000 0.0000
-2.1978 2.2350 9.4169
0.0425 0.0000 6.2703
0.1009 0.0000 12.6709
2.2851 2.2350 3.1696
2.3430 2.2350 9.4595
4.5263 0.0000 6.2813
6.7635 2.2350 3.1718
0.0356 0.0000 3.1743
2.2677 2.2350 0.0362
0.1014 0.0000 9.4636
2.3284 2.2350 6.2558
4.5287 0.0000 3.1702
2.3249 2.2350 12.6557
4.5123 0.0000 9.4026
6.7235 2.2350 6.2543
0.0362 2.2350 1.7086
-2.1694 0.0000 11.0701
0.1773 2.2350 7.9369
2.3653 0.0000 4.6760
4.5251 2.2350 1.7008
2.3223 0.0000 10.9426
4.4652 2.2350 7.7974
6.6936 0.0000 4.6763
```

Output
Distance to the lowest polymorph of the same formula = 134 meV per atom

First-principles (PBE) data for crystalline SmScAu4 at its relaxed geometry, as listed in OQMD via LeMat-Bulk.

```
SmScAu4
1.0
3.6847 0.0000 0.0000
0.0000 3.6847 0.0000
0.0000 0.0000 9.0364
Sm Sc Au
1 1 4
Cartesian
0.0000 0.0000 0.0000
1.8423 1.8423 4.5182
0.0000 0.0000 3.1032
0.0000 0.0000 5.9332
1.8423 1.8423 1.6035
1.8423 1.8423 7.4330
```

Output
Energy relative to the elements = -0.79 eV/atom

First-principles (PBE) data for crystalline Sc2SnAu2 at its relaxed geometry, as listed in OQMD via LeMat-Bulk.

```
Sc2SnAu2
1.0
7.5995 0.0000 0.0000
0.0000 7.5995 0.0000
0.0000 0.0000 7.0822
Sc Sn Au
8 4 8
Cartesian
1.1260 1.1260 0.0000
1.4213 1.4213 3.5411
2.3784 5.2211 0.0000
2.6737 4.9258 3.5411
4.9258 2.6737 3.5411
5.2211 2.3784 0.0000
6.1781 6.1781 3.5411
6.4734 6.4734 0.0000
0.0000 3.7997 1.7705
0.0000 3.7997 5.3116
3.7997 0.0000 1.7705
3.7997 0.0000 5.3116
0.9928 6.6067 2.0413
0.9928 6.6067 5.0408
2.8070 2.8070 1.4998
2.8070 2.8070 5.5824
4.7925 4.7925 1.4998
4.7925 4.7925 5.5824
6.6067 0.9928 2.0413
6.6067 0.9928 5.0408
```

Output
Distance to the lowest polymorph of the same formula = 0 meV per atom

First-principles (PBE) data for crystalline Sc2SnAu2 at its relaxed geometry, as listed in OQMD via LeMat-Bulk.

```
Sc2SnAu2
1.0
-2.2918 2.2918 5.5658
2.2918 -2.2918 5.5658
2.2918 2.2918 -5.5658
Sc Sn Au
2 1 2
Cartesian
2.2918 0.0000 2.7829
0.0000 2.2918 2.7829
0.0000 0.0000 0.0000
0.0000 0.0000 4.2396
0.0000 0.0000 6.8921
```

Output
Distance to the lowest polymorph of the same formula = 312 meV per atom

First-principles (PBE) data for crystalline Sc2SnAu at its relaxed geometry, as listed in OQMD via LeMat-Bulk.

```
Sc2SnAu
1.0
0.0000 3.4774 3.4774
3.4774 0.0000 3.4774
3.4774 3.4774 0.0000
Sc Sn Au
2 1 1
Cartesian
0.0000 0.0000 0.0000
1.7387 1.7387 1.7387
3.4774 3.4774 3.4774
5.2162 5.2162 5.2162
```

Output
E = -20.89 eV/cell

First-principles (PBE) data for crystalline TmScSn2Au2 at its relaxed geometry, as listed in OQMD via LeMat-Bulk.

```
TmScSn2Au2
1.0
4.6287 0.0000 0.0000
-2.3143 4.0086 0.0000
0.0000 0.0000 7.2258
Tm Sc Sn Au
1 1 2 2
Cartesian
0.0000 0.0000 0.0000
0.0000 0.0000 3.6063
0.0000 2.6724 1.6651
2.3143 1.3362 5.2004
0.0000 2.6724 5.9611
2.3143 1.3362 2.3870
```

Output
E = -29.77 eV/cell

First-principles (PBE) data for crystalline SrSc2Au at its relaxed geometry, as listed in OQMD via LeMat-Bulk.

```
SrSc2Au
1.0
0.0000 3.6768 3.6768
3.6768 0.0000 3.6768
3.6768 3.6768 0.0000
Sr Sc Au
1 2 1
Cartesian
0.0000 0.0000 0.0000
3.6768 3.6768 3.6768
5.5153 5.5153 5.5153
1.8384 1.8384 1.8384
```

Output
E = -17.45 eV/cell

First-principles (PBE) data for crystalline SrScTe3Au at its relaxed geometry, as listed in OQMD via LeMat-Bulk.

```
SrScTe3Au
1.0
9.6861 -2.1240 0.0000
9.6861 2.1240 0.0000
-1.5090 0.0000 8.6085
Sr Sc Te Au
2 2 6 2
Cartesian
2.3324 0.0000 0.7157
15.5308 0.0000 7.8928
2.2543 0.0000 5.1202
15.6089 0.0000 3.4883
-0.7545 0.0000 4.3042
5.7564 0.0000 1.4042
5.2821 0.0000 5.3980
9.6861 0.0000 0.0000
12.5811 0.0000 3.2105
12.1068 0.0000 7.2043
8.2733 0.0000 2.4906
9.5900 0.0000 6.1179
```

Output
E = -53.95 eV/cell

First-principles (PBE) data for crystalline SrScTe3Au at its relaxed geometry, as listed in OQMD via LeMat-Bulk.

```
SrScTe3Au
1.0
8.2883 0.0000 0.0000
0.0000 4.2338 0.0000
-2.8747 0.0000 9.9052
Sr Sc Te Au
2 2 6 2
Cartesian
1.0687 1.0585 2.8233
4.3449 3.1754 7.0819
0.2189 3.1754 8.2350
5.1947 1.0585 1.6702
-1.8161 1.0585 8.5513
0.8623 3.1754 5.3941
3.1678 3.1754 1.3214
2.2458 1.0585 8.5838
4.5513 1.0585 4.5112
7.2297 3.1754 1.3539
-1.0097 1.0585 5.9198
6.4233 3.1754 3.9855
```

Output
E = -54.60 eV/cell

For reference, theoretical density by record: 9.72; 8.37; 8.99; 7.63; 13.31; 9.79; 8.56; 8.01; 10.47; 6.26; 6.68; 6.81 g/cm³.